Entry 1:
MgCdSb2 | SCAN | PBEsol geometry

Calculated values
energy above the most stable polymorph in this dataset: 86 meV/atom
raw formation energy: -0.001 eV/atom
electronic total energy: -27.4784 eV/atom
magnetization: 0.000 μB per cell

Cell: 3.3550 3.3550 8.6045 Å, 90.00 90.00 93.42°
With the nearest neighbours (Å) after each atom.
Atoms (fractional coordinates):
Mg1 0.0000 0.0000 0.0000  8 Sb 3.08-3.19, 4 Mg 3.35
Cd1 0.0000 0.0000 0.5000  8 Sb 3.22-3.33, 4 Cd 3.35
Sb1 0.5000 0.5000 0.2377  4 Mg 3.08-3.19, 4 Cd 3.22-3.33, 4 Sb 3.35
Sb2 0.5000 0.5000 0.7623  4 Mg 3.08-3.19, 4 Cd 3.22-3.33, 4 Sb 3.35

***

Entry 2:
MgCd2Sb | SCAN | PBEsol geometry

Calculated values
raw formation energy: -0.027 eV/atom
electronic total energy: -25.7923 eV/atom
magnetization: 0.000 μB per cell

Cell: 5.4545 5.4545 3.4125 Å, 90.00 90.00 115.14°
With the nearest neighbours (Å) after each atom.
Atoms (fractional coordinates):
Mg1 0.0000 0.0000 0.0000  2 Sb 2.93, 8 Cd 3.22
Cd1 0.0000 0.5000 0.5000  2 Cd 2.93, 4 Sb 3.22, 4 Mg 3.22
Cd2 0.5000 0.0000 0.5000  2 Cd 2.93, 4 Sb 3.22, 4 Mg 3.22
Sb1 0.5000 0.5000 0.0000  2 Mg 2.93, 8 Cd 3.22

***

Entry 3:
MgCdSb2 | SCAN | PBEsol geometry

Calculated values
energy above the most stable polymorph in this dataset: 32 meV/atom
raw formation energy: -0.055 eV/atom
electronic total energy: -27.5326 eV/atom
magnetization: 0.000 μB per cell

Cell: 3.1303 3.9435 8.1907 Å, 90.00 100.43 90.00°
With the nearest neighbours (Å) after each atom.
Atoms (fractional coordinates):
Mg1 0.0000 0.0000 0.0000  8 Sb 3.08-3.21, 2 Mg 3.13
Cd1 0.0000 0.0000 0.5000  4 Sb 3.00, 2 Cd 3.13
Sb1 0.3481 0.5000 0.7663  2 Cd 3.00, 4 Mg 3.08-3.21, 2 Sb 3.13
Sb2 0.6519 0.5000 0.2337  2 Cd 3.00, 4 Mg 3.08-3.21, 2 Sb 3.13

***

Entry 4:
Mg2CdSb | SCAN | PBEsol geometry

Calculated values
energy above the most stable polymorph in this dataset: 46 meV/atom
raw formation energy: -0.122 eV/atom
electronic total energy: -19.5281 eV/atom
magnetization: 0.000 μB per cell

Cell: 4.8415 4.8415 6.2838 Å, 101.42 101.42 40.22°
With the nearest neighbours (Å) after each atom.
Atoms (fractional coordinates):
Mg1 0.2490 0.2490 0.2276  3 Cd 2.93-2.94, 3 Sb 3.04-3.11
Mg2 0.7510 0.7510 0.7724  3 Cd 2.93-2.94, 3 Sb 3.04-3.11
Cd1 0.5000 0.5000 0.0000  6 Mg 2.93-2.94
Sb1 0.0000 0.0000 0.5000  6 Mg 3.04-3.11, 2 Sb 3.33

***

Entry 5:
MgCdSb2 | SCAN | PBEsol geometry

Calculated values
energy above the most stable polymorph in this dataset: 135 meV/atom
raw formation energy: 0.048 eV/atom
electronic total energy: -27.4298 eV/atom
magnetization: 0.000 μB per cell

Cell: 10.7092 10.7092 10.7092 Å, 17.67 17.67 17.67°
With the nearest neighbours (Å) after each atom.
Atoms (fractional coordinates):
Mg1 0.0000 0.0000 0.0000  6 Sb 3.05, 6 Mg 3.29
Cd1 0.5000 0.5000 0.5000  6 Cd 3.29, 6 Sb 3.46
Sb1 0.2580 0.2580 0.2580  3 Mg 3.05, 6 Sb 3.29
Sb2 0.7420 0.7420 0.7420  3 Mg 3.05, 6 Sb 3.29

***

Entry 6:
Mg2CdSb | SCAN | PBEsol geometry

Calculated values
energy above the most stable polymorph in this dataset: 49 meV/atom
raw formation energy: -0.119 eV/atom
electronic total energy: -19.5249 eV/atom
magnetization: 0.001 μB per cell

Cell: 5.5956 5.5956 5.0737 Å, 98.28 98.28 35.48°
With the nearest neighbours (Å) after each atom.
Atoms (fractional coordinates):
Mg1 0.0000 0.0000 0.0000  3 Cd 2.98-3.15, 4 Sb 3.06, 1 Mg 3.23
Mg2 0.2439 0.2439 0.6922  4 Cd 2.99-3.12, 3 Sb 3.04-3.13, 1 Mg 3.23
Cd1 0.7466 0.7466 0.1782  7 Mg 2.98-3.15, 1 Sb 3.29
Sb1 0.5008 0.5008 0.5000  7 Mg 3.04-3.13, 3 Cd 3.29-3.40

***

Entry 7:
Mg2CdSb | SCAN | PBEsol geometry

Calculated values
energy above the most stable polymorph in this dataset: 19 meV/atom
raw formation energy: -0.150 eV/atom
electronic total energy: -19.5554 eV/atom
magnetization: 0.000 μB per cell

Cell: 3.2751 3.2751 8.3151 Å, 90.00 90.00 90.00°
With the nearest neighbours (Å) after each atom.
Atoms (fractional coordinates):
Mg1 0.0000 0.0000 0.2360  4 Cd 3.04, 4 Sb 3.19, 4 Mg 3.28
Mg2 0.0000 0.0000 0.7640  4 Cd 3.04, 4 Sb 3.19, 4 Mg 3.28
Cd1 0.5000 0.5000 0.0000  8 Mg 3.04, 4 Cd 3.28
Sb1 0.5000 0.5000 0.5000  8 Mg 3.19, 4 Sb 3.28

***

Entry 8:
MgCd2Sb | SCAN | PBEsol geometry

Calculated values
raw formation energy: -0.073 eV/atom
electronic total energy: -25.8392 eV/atom
magnetization: 0.000 μB per cell

Cell: 4.2549 6.9423 6.9423 Å, 26.67 90.00 90.00°
With the nearest neighbours (Å) after each atom.
Atoms (fractional coordinates):
Mg1 0.0000 0.0000 0.0000  4 Sb 3.04, 5 Cd 3.09-3.16, 2 Mg 3.20
Cd1 0.0000 0.2289 0.2289  6 Cd 3.00-3.20, 2 Sb 3.06, 1 Mg 3.09
Cd2 0.5000 0.6262 0.6262  6 Cd 3.00-3.20, 4 Mg 3.16, 1 Sb 3.17
Sb1 0.5000 0.3916 0.3916  4 Mg 3.04, 3 Cd 3.06-3.17, 2 Sb 3.20

***

Entry 9:
Mg2CdSb | SCAN | PBEsol geometry

Calculated values
energy above the most stable polymorph in this dataset: 15 meV/atom
raw formation energy: -0.154 eV/atom
electronic total energy: -19.5594 eV/atom
magnetization: 0.000 μB per cell

Cell: 5.7558 5.7558 5.7558 Å, 136.32 136.32 63.49°
With the nearest neighbours (Å) after each atom.
Atoms (fractional coordinates):
Mg1 0.0000 0.0000 0.0000  4 Sb 3.03, 4 Cd 3.25, 4 Mg 3.25
Mg2 0.7500 0.2500 0.5000  4 Cd 3.03, 4 Sb 3.25, 4 Mg 3.25
Cd1 0.2500 0.7500 0.5000  8 Mg 3.03-3.25, 4 Sb 3.25
Sb1 0.5000 0.5000 0.0000  8 Mg 3.03-3.25, 4 Cd 3.25

***

Entry 10:
MgCdSb2 | SCAN | PBEsol geometry

Calculated values
energy above the most stable polymorph in this dataset: 157 meV/atom
raw formation energy: 0.069 eV/atom
electronic total energy: -27.4079 eV/atom
magnetization: 0.000 μB per cell

Cell: 5.1479 5.1479 5.1479 Å, 60.00 60.00 60.00°
With the nearest neighbours (Å) after each atom.
Atoms (fractional coordinates):
Mg1 0.0000 0.0000 0.0000  8 Sb 3.15
Cd1 0.5000 0.5000 0.5000  8 Sb 3.15
Sb1 0.2500 0.2500 0.2500  4 Cd 3.15, 4 Mg 3.15
Sb2 0.7500 0.7500 0.7500  4 Cd 3.15, 4 Mg 3.15

***

Entry 11:
MgCdSbTe2 | SCAN | PBEsol geometry

Calculated values
raw formation energy: 0.407 eV/atom
electronic total energy: -29.0228 eV/atom
magnetization: 0.001 μB per cell

Cell: 5.3984 5.3984 5.3051 Å, 90.00 90.00 90.00°
With the nearest neighbours (Å) after each atom.
Atoms (fractional coordinates):
Mg1 0.0000 0.0000 0.0000  2 Sb 2.65, 4 Te 2.70
Cd1 0.5000 0.5000 0.5000  8 Te 3.78, 4 Sb 3.82
Sb1 0.0000 0.0000 0.5000  2 Mg 2.65
Te1 0.0000 0.5000 0.0000  2 Mg 2.70
Te2 0.5000 0.0000 0.0000  2 Mg 2.70

***

Entry 12:
MgSc2Cd | SCAN | PBEsol geometry

Calculated values
energy above the most stable polymorph in this dataset: 0 meV/atom
formation enthalpy at 0 K: -97 kJ/mol of formula units
electronic total energy: -16.2168 eV/atom
magnetization: 0.292 μB per cell

Cell: 4.8598 4.8598 3.6693 Å, 90.00 90.00 90.00°
With the nearest neighbours (Å) after each atom.
Atoms (fractional coordinates):
Mg1 0.0000 0.0000 0.0000  8 Sc 3.04
Sc1 0.0000 0.5000 0.5000  4 Cd 3.04, 4 Mg 3.04
Sc2 0.5000 0.0000 0.5000  4 Cd 3.04, 4 Mg 3.04
Cd1 0.5000 0.5000 0.0000  8 Sc 3.04

***

Entry 13:
MgSc2Cd | SCAN | PBEsol geometry

Calculated values
energy above the most stable polymorph in this dataset: 3 meV/atom
formation enthalpy at 0 K: -96 kJ/mol of formula units
electronic total energy: -16.2135 eV/atom
magnetization: 0.087 μB per cell

Cell: 4.9675 4.9675 4.9675 Å, 60.00 60.00 60.00°
With the nearest neighbours (Å) after each atom.
Atoms (fractional coordinates):
Mg1 0.0000 0.0000 0.0000  8 Sc 3.04
Sc1 0.2500 0.2500 0.2500  4 Cd 3.04, 4 Mg 3.04
Sc2 0.7500 0.7500 0.7500  4 Cd 3.04, 4 Mg 3.04
Cd1 0.5000 0.5000 0.5000  8 Sc 3.04

***

Entry 14:
MgSc2Cd | SCAN | PBEsol geometry

Calculated values
energy above the most stable polymorph in this dataset: 75 meV/atom
formation enthalpy at 0 K: -68 kJ/mol of formula units
electronic total energy: -16.1421 eV/atom
magnetization: 1.141 μB per cell

Cell: 5.9588 5.9588 5.0498 Å, 114.90 114.90 33.25°
With the nearest neighbours (Å) after each atom.
Atoms (fractional coordinates):
Mg1 0.0000 0.0000 0.0000  2 Cd 2.85, 4 Sc 3.06-3.07
Sc1 0.2348 0.2348 0.7364  4 Cd 3.05, 2 Mg 3.21, 4 Sc 3.23-3.41
Sc2 0.4677 0.4677 0.4681  2 Cd 3.04, 4 Mg 3.06-3.07, 2 Sc 3.23
Cd1 0.7225 0.7225 0.2245  2 Mg 2.85, 6 Sc 3.04-3.05

***

Entry 15:
MgSc3Cd | SCAN | PBEsol geometry

Calculated values
formation enthalpy at 0 K: 352 kJ/mol of formula units
electronic total energy: -14.8904 eV/atom
magnetization: 0.014 μB per cell

Cell: 5.1456 5.1456 5.1456 Å, 90.00 90.00 90.00°
With the nearest neighbours (Å) after each atom.
Atoms (fractional coordinates):
Mg1 0.0000 0.0000 0.0000  6 Sc 2.57
Sc1 0.0000 0.0000 0.5000  2 Mg 2.57
Sc2 0.0000 0.5000 0.0000  2 Mg 2.57
Sc3 0.5000 0.0000 0.0000  2 Mg 2.57
Cd1 0.5000 0.5000 0.5000  12 Sc 3.64